The following is a GGA-PBE calculation of LaCe3Ni8 after structural relaxation, from Alexandria.

Cell: 5.0657 5.0657 8.5172 Å, 90.00 90.00 120.00°
With the nearest neighbours (Å) after each atom.
Sites, in units of the cell vectors:
La1 0.0000 0.0000 0.0000  12 Ni 2.97-3.07, 4 Ce 3.11-3.27
Ce1 0.0000 0.0000 0.3835  12 Ni 2.96-3.01, 3 Ce 3.07, 1 La 3.27
Ce2 0.6667 0.3333 0.4925  12 Ni 2.96-3.02, 4 Ce 3.07-3.26
Ce3 0.6667 0.3333 0.8758  12 Ni 2.97-3.08, 3 La 3.11, 1 Ce 3.26
Ni1 0.0074 0.5037 0.1925  6 Ni 2.48-2.60
Ni2 0.1711 0.3422 0.6861  6 Ni 2.47-2.60
Ni3 0.1711 0.8289 0.6861  6 Ni 2.47-2.60
Ni4 0.3333 0.6667 0.4398  6 Ni 2.53-2.55
Ni5 0.3333 0.6667 0.9371  6 Ni 2.57-2.60
Ni6 0.4963 0.5037 0.1925  6 Ni 2.48-2.60
Ni7 0.4963 0.9926 0.1925  6 Ni 2.48-2.60
Ni8 0.6578 0.8289 0.6861  6 Ni 2.47-2.60

excess energy over the best structure of this formula in the dataset: 0.008 eV/atom
crystal system: trigonal


The following is a GGA-PBE calculation of Dy2Al3Cd after structural relaxation, from Alexandria.

Cell: 8.5039 8.5039 8.5039 Å, 153.95 148.89 41.01°
With the nearest neighbours (Å) after each atom.
Sites, in units of the cell vectors:
Dy1 0.0000 0.0000 0.0000  8 Al 3.13-3.48, 4 Cd 3.40
Dy2 0.7804 0.2804 0.5000  10 Al 3.13-3.42, 2 Cd 3.41
Al1 0.1821 0.6821 0.5000  1 Al 2.52, 2 Cd 2.60
Al2 0.3406 0.8406 0.5000  3 Al 2.49-2.52
Al3 0.4400 0.4400 0.0000  2 Al 2.49, 1 Cd 2.60
Cd1 0.6033 0.6033 0.0000  3 Al 2.60

excess energy over the best structure of this formula in the dataset: 0.099 eV/atom
crystal system: orthorhombic


The following is a GGA-PBE calculation of La6PmTm5 after structural relaxation, from Alexandria.

Cell: 6.3144 6.3144 11.8253 Å, 95.10 95.10 119.99°
With the nearest neighbours (Å) after each atom.
Sites, in units of the cell vectors:
La1 0.0818 0.4156 0.2480  5 Tm 3.57-3.61, 1 Pm 3.61, 6 La 3.64-3.65
La2 0.2503 0.2503 0.7516  5 Tm 3.57-3.61, 1 Pm 3.61, 6 La 3.64-3.65
La3 0.4156 0.0818 0.2480  5 Tm 3.57-3.61, 1 Pm 3.61, 6 La 3.64-3.65
La4 0.5844 0.9182 0.7520  5 Tm 3.57-3.61, 1 Pm 3.61, 6 La 3.64-3.65
La5 0.7497 0.7497 0.2484  5 Tm 3.57-3.61, 1 Pm 3.61, 6 La 3.64-3.65
La6 0.9182 0.5844 0.7520  5 Tm 3.57-3.61, 1 Pm 3.61, 6 La 3.64-3.65
Pm1 0.5000 0.5000 0.5000  6 La 3.61, 6 Tm 3.65
Tm1 0.0000 0.0000 0.0000  6 La 3.57, 6 Tm 3.65
Tm2 0.1667 0.8333 0.5000  6 La 3.61, 3 Pm 3.65, 3 Tm 3.65
Tm3 0.3335 0.6665 0.0000  6 La 3.57-3.58, 6 Tm 3.64-3.65
Tm4 0.6665 0.3335 0.0000  6 La 3.57-3.58, 6 Tm 3.64-3.65
Tm5 0.8333 0.1667 0.5000  6 La 3.61, 3 Pm 3.65, 3 Tm 3.65

crystal system: monoclinic


The following is a GGA-PBE calculation of Tb7Pm6 after structural relaxation, from Alexandria.

Cell: 12.2986 12.2986 12.2986 Å, 31.33 31.33 31.33°
With the nearest neighbours (Å) after each atom.
Sites, in units of the cell vectors:
Tb1 0.0000 0.0000 0.0000  6 Tb 3.42
Tb2 0.0882 0.0882 0.5825  5 Tb 3.28-3.42, 4 Pm 3.58-3.59
Tb3 0.0882 0.5825 0.0882  5 Tb 3.28-3.42, 4 Pm 3.58-3.59
Tb4 0.4175 0.9118 0.9118  5 Tb 3.28-3.42, 4 Pm 3.58-3.59
Tb5 0.5825 0.0882 0.0882  5 Tb 3.28-3.42, 4 Pm 3.58-3.59
Tb6 0.9118 0.4175 0.9118  5 Tb 3.28-3.42, 4 Pm 3.58-3.59
Tb7 0.9118 0.9118 0.4175  5 Tb 3.28-3.42, 4 Pm 3.58-3.59
Pm1 0.1662 0.1662 0.1662  6 Tb 3.58-3.59, 3 Pm 3.83
Pm2 0.3497 0.3497 0.3497  4 Pm 3.62-4.00, 12 Tb 3.88-4.01
Pm3 0.4528 0.4528 0.4528  2 Pm 3.31-3.62, 6 Tb 3.59
Pm4 0.5472 0.5472 0.5472  2 Pm 3.31-3.62, 6 Tb 3.59
Pm5 0.6503 0.6503 0.6503  4 Pm 3.62-4.00, 12 Tb 3.88-4.01
Pm6 0.8338 0.8338 0.8338  6 Tb 3.58-3.59, 3 Pm 3.83

crystal system: trigonal


The following is a GGA-PBE calculation of La6NdHoEr2 after structural relaxation, from Alexandria.

Cell: 9.0050 9.0050 9.8462 Å, 94.39 94.39 117.00°
With the nearest neighbours (Å) after each atom.
Sites, in units of the cell vectors:
La1 0.0041 0.5611 0.1914  3 La 3.34-3.73, 1 Ho 3.46, 1 Er 3.55, 1 Nd 3.64
La2 0.1076 0.7564 0.5530  6 La 3.49-3.90, 2 Er 3.56-3.87, 2 Nd 3.66-3.89
La3 0.2436 0.8924 0.9470  6 La 3.49-3.90, 2 Er 3.56-3.87, 2 Nd 3.66-3.89
La4 0.2985 0.5101 0.3802  3 La 3.34-3.49, 3 Er 3.34-3.51, 2 Ho 3.43-3.63
La5 0.4389 0.9959 0.3086  3 La 3.34-3.73, 1 Ho 3.46, 1 Er 3.55, 1 Nd 3.64
La6 0.4899 0.7015 0.1198  3 La 3.34-3.49, 3 Er 3.34-3.51, 2 Ho 3.43-3.63
La7 0.5101 0.2985 0.8802  3 La 3.34-3.49, 3 Er 3.34-3.51, 2 Ho 3.43-3.63
La8 0.5611 0.0041 0.6914  3 La 3.34-3.73, 1 Ho 3.46, 1 Er 3.55, 1 Nd 3.64
La9 0.7015 0.4899 0.6198  3 La 3.34-3.49, 3 Er 3.34-3.51, 2 Ho 3.43-3.63
La10 0.7564 0.1076 0.0530  6 La 3.49-3.90, 2 Er 3.56-3.87, 2 Nd 3.66-3.89
La11 0.8924 0.2436 0.4470  6 La 3.49-3.90, 2 Er 3.56-3.87, 2 Nd 3.66-3.89
La12 0.9959 0.4389 0.8086  3 La 3.34-3.73, 1 Ho 3.46, 1 Er 3.55, 1 Nd 3.64
Nd1 0.0257 0.9743 0.2500  4 Er 3.45-3.47, 4 La 3.64-3.66
Nd2 0.9743 0.0257 0.7500  4 Er 3.45-3.47, 4 La 3.64-3.66
Ho1 0.4104 0.5896 0.7500  6 La 3.43-3.63, 2 Er 3.56
Ho2 0.5896 0.4104 0.2500  6 La 3.43-3.63, 2 Er 3.56
Er1 0.1985 0.2922 0.0476  5 La 3.34-3.56, 2 Nd 3.45-3.47, 1 Ho 3.56
Er2 0.2922 0.1985 0.5476  5 La 3.34-3.56, 2 Nd 3.45-3.47, 1 Ho 3.56
Er3 0.7078 0.8015 0.4524  5 La 3.34-3.56, 2 Nd 3.45-3.47, 1 Ho 3.56
Er4 0.8015 0.7078 0.9524  5 La 3.34-3.56, 2 Nd 3.45-3.47, 1 Ho 3.56

crystal system: monoclinic


The following is a GGA-PBE calculation of BeCu2Ag after structural relaxation, from Alexandria.

Cell: 4.4644 4.4644 4.4644 Å, 130.24 130.24 73.02°
With the nearest neighbours (Å) after each atom.
Sites, in units of the cell vectors:
Be1 0.0000 0.0000 0.0000  4 Ag 2.60, 8 Cu 2.60-2.66
Cu1 0.2500 0.7500 0.5000  4 Be 2.60, 4 Cu 2.60, 4 Ag 2.66
Cu2 0.5000 0.5000 0.0000  4 Ag 2.60, 4 Cu 2.60, 4 Be 2.66
Ag1 0.7500 0.2500 0.5000  4 Be 2.60, 8 Cu 2.60-2.66

crystal system: tetragonal


The following is a GGA-PBE calculation of BaGaSn2Au after structural relaxation, from Alexandria.

Cell: 6.2655 6.2655 5.9576 Å, 90.00 90.00 90.00°
With the nearest neighbours (Å) after each atom.
Sites, in units of the cell vectors:
Ba1 0.0000 0.0000 0.0000  2 Ga 2.98, 4 Sn 3.13
Ga1 0.0000 0.0000 0.5000  2 Ba 2.98
Sn1 0.0000 0.5000 0.0000  2 Ba 3.13
Sn2 0.5000 0.0000 0.0000  2 Ba 3.13
Au1 0.5000 0.5000 0.5000  8 Sn 4.32, 4 Ga 4.43

crystal system: tetragonal


The following is a GGA-PBE calculation of Ca2AcAg after structural relaxation, from Alexandria.

Cell: 6.6705 6.6705 10.8795 Å, 90.00 90.00 143.83°
With the nearest neighbours (Å) after each atom.
Sites, in units of the cell vectors:
Ca1 0.1383 0.8617 0.5606  2 Ag 3.15
Ca2 0.1383 0.8617 0.9394  2 Ag 3.15
Ca3 0.8617 0.1383 0.0606  2 Ag 3.15
Ca4 0.8617 0.1383 0.4394  2 Ag 3.15
Ac1 0.4288 0.5712 0.7500  2 Ag 3.26
Ac2 0.5712 0.4288 0.2500  2 Ag 3.26
Ag1 0.2694 0.7306 0.2500  4 Ca 3.15, 2 Ac 3.26
Ag2 0.7306 0.2694 0.7500  4 Ca 3.15, 2 Ac 3.26

excess energy over the best structure of this formula in the dataset: 0.011 eV/atom
crystal system: orthorhombic


The following is a GGA-PBE calculation of GaCoGePt after structural relaxation, from Alexandria.

Cell: 4.6357 4.6357 4.2659 Å, 104.94 104.94 40.39°
With the nearest neighbours (Å) after each atom.
Sites, in units of the cell vectors:
Ga1 0.0000 0.0000 0.0000  3 Pt 2.48-2.59, 4 Co 2.56-2.78
Co1 0.5111 0.5111 0.5386  3 Ge 2.49-2.51, 4 Ga 2.56-2.78
Ge1 0.2381 0.2381 0.6311  3 Co 2.49-2.51, 4 Pt 2.63-2.71
Pt1 0.7427 0.7427 0.1458  3 Ga 2.48-2.59, 4 Ge 2.63-2.71

excess energy over the best structure of this formula in the dataset: 0.043 eV/atom
crystal system: monoclinic


The following is a GGA-PBE calculation of Ta3MoW6 after structural relaxation, from Alexandria.

Cell: 7.8746 4.5437 9.6546 Å, 90.00 105.79 90.00°
With the nearest neighbours (Å) after each atom.
Sites, in units of the cell vectors:
Ta1 0.0500 0.2500 0.4001  8 W 2.78-2.81
Ta2 0.1503 0.7500 0.2003  8 W 2.79-2.83
Ta3 0.2507 0.2500 0.0000  8 W 2.77-2.82
Ta4 0.7493 0.7500 0.0000  8 W 2.77-2.82
Ta5 0.8497 0.2500 0.7997  8 W 2.79-2.83
Ta6 0.9500 0.7500 0.5999  8 W 2.78-2.81
Mo1 0.4503 0.2500 0.5995  8 W 2.75-2.78
Mo2 0.5497 0.7500 0.4005  8 W 2.75-2.78
W1 0.0521 0.7500 0.8986  1 W 2.77, 7 Ta 2.78-2.81
W2 0.1546 0.2500 0.6990  1 Mo 2.75, 2 W 2.77, 5 Ta 2.78-2.83
W3 0.2550 0.7500 0.5017  3 Mo 2.75-2.76, 1 W 2.77, 4 Ta 2.80-2.81
W4 0.3507 0.7500 0.7995  8 W 2.76-2.81
W5 0.3552 0.2500 0.3032  3 Mo 2.75-2.76, 1 W 2.76, 4 Ta 2.81-2.82
W6 0.4526 0.7500 0.1016  4 Ta 2.77-2.79, 3 W 2.77-2.81, 1 Mo 2.78
W7 0.5474 0.2500 0.8984  4 Ta 2.77-2.79, 3 W 2.77-2.81, 1 Mo 2.78
W8 0.6448 0.7500 0.6968  3 Mo 2.75-2.76, 1 W 2.76, 4 Ta 2.81-2.82
W9 0.6493 0.2500 0.2005  8 W 2.76-2.81
W10 0.7450 0.2500 0.4983  3 Mo 2.75-2.76, 1 W 2.77, 4 Ta 2.80-2.81
W11 0.8454 0.7500 0.3010  1 Mo 2.75, 2 W 2.77, 5 Ta 2.78-2.83
W12 0.9479 0.2500 0.1014  1 W 2.77, 7 Ta 2.78-2.81

crystal system: monoclinic


no.,ΔH_f (0 K) (meV per atom)
1,-345
2,-331
3,15
4,258
5,105
6,140
7,1191
8,-133
9,-271
10,-105